VASP calculation (PBE) on crystalline BaNbMo2W at its relaxed geometry.

Calculated values
E_tot (eV per atom): -6.850
D(E_F) (states/eV/f.u.): 10.1
ΔE_f (kcal/mol of atoms): 56.997
Magnetization (μB/f.u.): 0.0

Unit cell a=4.747 b=4.747 c=5.530 alpha=90.00 beta=90.00 gamma=90.00
Space group P4/mmm (No. 123)
Unique sites:
Ba 0.000 0.000 0.000 [1 per cell]
Nb 0.000 0.000 0.500 [1 per cell]
Mo 0.000 0.500 0.500 [2 per cell]
W 0.500 0.500 0.000 [1 per cell]